1.
Compound: TbPuCd
Source: OQMD via LeMat-Bulk
Functional: GGA-PBE
Structure: relaxed

Unit cell a=5.0062 b=5.0062 c=5.0062 alpha=60.00 beta=60.00 gamma=60.00
Last column: nearest neighbours and their distance in Å.
Positions (direct):
Pu (0.2500, 0.2500, 0.2500)  4 Cd 3.07, 4 Tb 3.07
Cd (0.5000, 0.5000, 0.5000)  4 Pu 3.07
Tb (0.0000, 0.0000, 0.0000)  4 Pu 3.07

Summary:
formation enthalpy at 0 K = 1.62 eV/f.u.

2.
Compound: PuCdTc
Source: OQMD via LeMat-Bulk
Functional: GGA-PBE
Structure: relaxed

Unit cell a=4.5922 b=4.5922 c=4.5922 alpha=60.00 beta=60.00 gamma=60.00
Last column: nearest neighbours and their distance in Å.
Positions (direct):
Tc (0.0000, 0.0000, 0.0000)  4 Pu 2.81
Cd (0.5000, 0.5000, 0.5000)  4 Pu 2.81
Pu (0.2500, 0.2500, 0.2500)  4 Cd 2.81, 4 Tc 2.81

Summary:
formation enthalpy at 0 K = 2.94 eV/f.u.

3.
Compound: PuCdTe
Source: OQMD via LeMat-Bulk
Functional: GGA-PBE
Structure: relaxed

Unit cell a=5.0257 b=5.0257 c=5.0257 alpha=60.00 beta=60.00 gamma=60.00
Last column: nearest neighbours and their distance in Å.
Positions (direct):
Cd (0.2500, 0.2500, 0.2500)  4 Te 3.08
Pu (0.7500, 0.7500, 0.7500)  4 Te 3.08
Te (0.0000, 0.0000, 0.0000)  4 Pu 3.08, 4 Cd 3.08

Summary:
energy = -6.237 eV per atom

4.
Compound: PuTlCdTe3
Source: OQMD via LeMat-Bulk
Functional: GGA-PBE
Structure: relaxed

Unit cell a=8.1323 b=8.1323 c=11.7549 alpha=90.00 beta=90.00 gamma=147.74
Last column: nearest neighbours and their distance in Å.
Positions (direct):
Pu (0.5000, 0.5000, 0.5000)  6 Te 3.15-3.20
Tl (0.7402, 0.2598, 0.7500)  6 Te 3.59-3.64, 2 Cd 3.95
Tl (0.2598, 0.7402, 0.2500)  6 Te 3.59-3.64, 2 Cd 3.95
Cd (0.9668, 0.0332, 0.2500)  4 Te 2.82-2.88
Te (0.8648, 0.1351, 0.0515)  1 Cd 2.82, 2 Pu 3.15
Cd (0.0332, 0.9668, 0.7500)  4 Te 2.82-2.88
Te (0.4184, 0.5816, 0.7500)  2 Cd 2.88, 2 Pu 3.20
Te (0.8648, 0.1351, 0.4485)  1 Cd 2.82, 2 Pu 3.15
Te (0.1351, 0.8648, 0.9485)  1 Cd 2.82, 2 Pu 3.15
Te (0.5816, 0.4184, 0.2500)  2 Cd 2.88, 2 Pu 3.20
Te (0.1351, 0.8648, 0.5515)  1 Cd 2.82, 2 Pu 3.15
Pu (0.5000, 0.5000, 0.0000)  6 Te 3.15-3.20

Summary:
energy = -5.144 eV per atom

Copy entry 1 word for word.
Compound: TbPuCd
Source: OQMD via LeMat-Bulk
Functional: GGA-PBE
Structure: relaxed

Unit cell a=5.0062 b=5.0062 c=5.0062 alpha=60.00 beta=60.00 gamma=60.00
Last column: nearest neighbours and their distance in Å.
Positions (direct):
Pu (0.2500, 0.2500, 0.2500)  4 Cd 3.07, 4 Tb 3.07
Cd (0.5000, 0.5000, 0.5000)  4 Pu 3.07
Tb (0.0000, 0.0000, 0.0000)  4 Pu 3.07

Summary:
formation enthalpy at 0 K = 1.62 eV/f.u.